1.
Sn2SbSe3 | PBE | relaxed

```
data_Sn2SbSe3
_symmetry_space_group_name_H-M 'P 1'
_symmetry_Int_Tables_number 1
_symmetry_space_group_name_Hall 'P 1'
_cell_length_a 6.139
_cell_length_b 8.415
_cell_length_c 7.404
_cell_angle_alpha 106.49
_cell_angle_beta 114.49
_cell_angle_gamma 90.00
loop_
_atom_site_label
_atom_site_fract_x
_atom_site_fract_y
_atom_site_fract_z
Sn1 0.335 0.918 0.671
Sn2 0.665 0.582 0.329
Sn3 0.335 0.418 0.671
Sn4 0.665 0.082 0.329
Sb1 0.001 0.250 0.000
Sb2 0.999 0.750 0.000
Se1 0.840 0.920 0.681
Se2 0.502 0.250 0.000
Se3 0.840 0.420 0.681
Se4 0.160 0.080 0.319
Se5 0.498 0.750 0.000
Se6 0.160 0.580 0.319
```

## Properties
SG: C2/c (15)
Size of the total moment: 0.000 μB per atom
Formation energy without anion corrections: -0.283 eV/atom

2.
AcCeNdLu | PBE | relaxed

```
data_AcCeNdLu
_symmetry_space_group_name_H-M 'P 1'
_symmetry_Int_Tables_number 1
_symmetry_space_group_name_Hall 'P 1'
_cell_length_a 5.854
_cell_length_b 5.854
_cell_length_c 5.854
_cell_angle_alpha 60.00
_cell_angle_beta 60.00
_cell_angle_gamma 60.00
loop_
_atom_site_label
_atom_site_fract_x
_atom_site_fract_y
_atom_site_fract_z
Ce1 0.500 0.500 0.500
Nd1 0.250 0.250 0.250
Ac1 0.750 0.750 0.750
Lu1 0.000 0.000 0.000
```

## Properties
SG: F-43m (216)
Size of the total moment: 0.685 μB per atom
Energy relative to the elements: 0.22 eV/atom

3.
ZnFeP2 | PBE | relaxed

```
data_ZnFeP2
_symmetry_space_group_name_H-M 'P 1'
_symmetry_Int_Tables_number 1
_symmetry_space_group_name_Hall 'P 1'
_cell_length_a 4.306
_cell_length_b 4.306
_cell_length_c 4.306
_cell_angle_alpha 125.12
_cell_angle_beta 125.12
_cell_angle_gamma 81.35
loop_
_atom_site_label
_atom_site_fract_x
_atom_site_fract_y
_atom_site_fract_z
P1 0.500 0.500 0.000
P2 0.000 0.000 0.000
Fe1 0.750 0.250 0.500
Zn1 0.250 0.750 0.500
```

## Properties
SG: I4/mmm (139)
Size of the total moment: 0.112 μB per atom
Energy relative to the elements: 0.28 eV/atom

Please write out number 3 again, unchanged.
ZnFeP2 | PBE | relaxed

```
data_ZnFeP2
_symmetry_space_group_name_H-M 'P 1'
_symmetry_Int_Tables_number 1
_symmetry_space_group_name_Hall 'P 1'
_cell_length_a 4.306
_cell_length_b 4.306
_cell_length_c 4.306
_cell_angle_alpha 125.12
_cell_angle_beta 125.12
_cell_angle_gamma 81.35
loop_
_atom_site_label
_atom_site_fract_x
_atom_site_fract_y
_atom_site_fract_z
P1 0.500 0.500 0.000
P2 0.000 0.000 0.000
Fe1 0.750 0.250 0.500
Zn1 0.250 0.750 0.500
```

## Properties
SG: I4/mmm (139)
Size of the total moment: 0.112 μB per atom
Energy relative to the elements: 0.28 eV/atom

- The highest size of the total moment belongs to which entry?
  AcCeNdLu